(1)
DFT (PBE-GGA) results for a relaxed structure of GaHg3Pb6.

Properties
For the energy above the most stable polymorph in this dataset, the calculation gives 0.015 eV/atom. The calculated volume is 587.01 Å³/cell. The value obtained for the energy of formation from the pure elements is 0.072 eV/atom. Its space group is Cmc2_1.

```
20
Lattice="6.349 0.000 0.000 0.000 9.567 -1.868 0.000 -0.385 9.740" Properties=species:S:1:pos:R:3 pbc="T T T"
Pb 1.609 0.172 4.508
Pb 5.669 0.543 8.658
Pb 0.486 3.255 1.775
Pb 1.301 6.554 1.646
Pb 1.609 4.701 8.390
Ga 4.507 7.167 0.932
Pb 4.783 4.481 -0.518
Hg 5.858 0.206 2.123
Pb 4.783 9.010 3.364
Hg 4.269 5.336 3.067
Pb 4.475 2.628 6.226
Hg 5.858 7.053 7.992
Hg 1.094 3.847 4.804
Ga 1.333 2.016 6.940
Pb 3.660 2.252 2.946
Pb 2.495 8.639 -0.786
Hg 2.683 8.976 5.749
Pb 0.486 6.931 4.926
Hg 2.683 2.129 -0.121
Pb 3.660 5.927 6.097
```

***

(2)
DFT (PBE-GGA) results for a relaxed structure of K2MgAgH6.

Properties
As for the total energy: -2.74 eV/atom. The calculated volume is 133.07 Å³/cell. Its space group is I4/mmm.

```
10
Lattice="-2.116 -2.372 4.465 4.517 -3.062 0.514 3.037 0.416 5.025" Properties=species:S:1:pos:R:3 pbc="T T T"
H 2.752 -2.879 1.565
Mg 0.000 0.000 0.000
K 1.061 -2.337 5.990
H -0.351 -2.556 3.414
H 2.241 -0.941 3.927
H 3.196 -4.077 6.077
K 4.377 -2.682 4.014
Ag 4.237 -2.301 7.514
H 0.639 -1.446 1.325
H 4.799 -3.572 8.679
```

***

(3)
DFT (PBE-GGA) results for a relaxed structure of Pr5Sm3Ru2.

Properties
The calculated volume is 661.97 Å³/cell. The value obtained for the energy of formation from the pure elements is -0.052 eV/atom. Its space group is Ibam.

```
20
Lattice="8.164 0.000 0.000 4.082 9.310 0.463 4.082 2.917 8.854" Properties=species:S:1:pos:R:3 pbc="T T T"
Pr 6.123 9.127 6.955
Pr 6.123 3.100 2.362
Pr 10.205 3.100 2.362
Sm 4.082 3.042 5.513
Pr 6.123 6.114 4.658
Sm 6.123 0.000 0.000
Pr 10.205 9.127 6.955
Pr 8.164 9.129 3.771
Pr 10.205 6.114 4.658
Pr 12.246 6.059 7.801
Pr 8.164 3.098 5.545
Sm 8.164 6.123 1.470
Ru 12.246 10.632 8.126
Pr 4.082 6.169 1.516
Ru 4.082 1.595 1.190
Ru 8.164 1.571 1.222
Ru 8.164 10.657 8.095
Sm 8.164 6.105 7.847
Sm 2.041 0.000 0.000
Sm 12.246 9.185 3.803
```

***

(4)
DFT (PBE-GGA) results for a relaxed structure of AlFeSb2.

Properties
As for the formation energy from raw total energies: 448 meV/atom. The calculated volume is 84.06 Å³/cell. Its space group is I-4m2.

```
4
Lattice="5.943 0.032 0.000 3.208 5.003 0.000 -4.576 -2.517 2.837" Properties=species:S:1:pos:R:3 pbc="T T T"
Sb 0.000 0.000 0.000
Fe 2.972 0.016 1.418
Sb 1.604 2.501 1.418
Al 4.576 2.517 0.000
```

***

(5)
DFT (PBE-GGA) results for a relaxed structure of PmCdRh.

Properties
For the energy above the most stable polymorph in this dataset, the calculation gives 0.000 eV/atom. The calculated volume is 133.51 Å³/cell. The value obtained for the energy of formation from the pure elements is -0.526 eV/atom. Its space group is P4/nmm.

```
6
Lattice="4.165 -0.014 -0.007 0.014 4.147 -0.366 0.018 0.676 7.670" Properties=species:S:1:pos:R:3 pbc="T T T"
Cd 0.101 1.416 0.056
Rh 2.196 1.905 5.682
Pm 0.119 3.929 4.855
Cd 2.190 3.483 -0.130
Rh 0.112 3.670 1.914
Pm 2.189 1.646 2.740
```

***

(6)
DFT (PBE-GGA) results for a relaxed structure of Na3Zn5Au6.

Properties
The calculated volume is 542.83 Å³/cell. The value obtained for the energy of formation from the pure elements is -0.259 eV/atom. Its space group is Pmmn.

```
28
Lattice="4.479 0.000 0.000 0.000 9.309 0.000 0.000 0.000 13.018" Properties=species:S:1:pos:R:3 pbc="T T T"
Au 0.000 3.774 6.509
Zn 2.240 1.073 10.880
Au 0.000 5.663 4.332
Zn 0.000 8.236 8.646
Au 2.240 3.646 2.177
Zn 2.240 4.297 8.197
Au 0.000 9.064 1.838
Na 2.240 7.006 10.337
Zn 2.240 4.297 4.820
Zn 2.240 2.202 6.509
Au 0.000 5.663 8.685
Na 0.000 2.303 3.828
Zn 0.000 5.013 11.329
Zn 0.000 5.013 1.689
Au 2.240 3.646 10.841
Zn 0.000 7.107 0.000
Zn 0.000 8.236 4.371
Au 0.000 0.590 6.509
Au 2.240 8.720 0.000
Au 2.240 5.535 0.000
Zn 2.240 1.073 2.137
Na 2.240 6.993 6.509
Au 0.000 9.064 11.179
Au 2.240 0.246 8.347
Na 0.000 2.317 0.000
Na 2.240 7.006 2.681
Na 0.000 2.303 9.189
Au 2.240 0.246 4.670
```

***

(7)
DFT (PBE-GGA) results for a relaxed structure of In2AgS2.

Properties
As for the formation energy from raw total energies: -74 meV/atom. The calculated volume is 236.77 Å³/cell. Its space group is P4/mbm.

```
10
Lattice="7.785 0.000 0.000 0.000 7.785 0.000 0.000 0.000 3.907" Properties=species:S:1:pos:R:3 pbc="T T T"
In 2.881 1.011 1.953
In 4.904 6.774 1.953
S 1.667 2.226 0.000
In 6.774 2.881 1.953
Ag 0.000 0.000 0.000
Ag 3.892 3.892 0.000
S 5.559 1.667 0.000
S 6.118 5.559 0.000
In 1.011 4.904 1.953
S 2.226 6.118 0.000
```

***

(8)
DFT (PBE-GGA) results for a relaxed structure of BeAg2H.

Properties
For the energy above the most stable polymorph in this dataset, the calculation gives 0.204 eV/atom. The calculated volume is 49.89 Å³/cell. Its space group is Fm-3m.

```
4
Lattice="0.670 1.609 3.747 -0.124 4.095 0.543 -3.119 1.712 2.101" Properties=species:S:1:pos:R:3 pbc="T T T"
H 0.000 0.000 0.000
Be -1.286 3.708 3.195
Ag -1.929 5.562 4.793
Ag -0.643 1.854 1.598
```